1.
# KIn3Fe, relaxed, DFT PBE
# total moment: 3.5 μB/f.u.
# DOS at the Fermi energy: 11.98 states/eV/cell
# electronic total energy: -10.3 eV/cell
# energy relative to the elements: 1503.2 meV per atom
data_KIn3Fe
_cell_length_a 5.9517
_cell_length_b 5.9517
_cell_length_c 5.9517
_cell_angle_alpha 90.00
_cell_angle_beta 90.00
_cell_angle_gamma 90.00
_space_group_name_H-M_alt 'P 1'
_space_group_IT_number 1
_space_group_name_Hall 'P 1'
loop_
_atom_site_label
_atom_site_type_symbol
_atom_site_fract_x
_atom_site_fract_y
_atom_site_fract_z
K1 K 0.0000 0.0000 0.0000
In1 In 0.0000 0.0000 0.5000
In2 In 0.0000 0.5000 0.0000
In3 In 0.5000 0.0000 0.0000
Fe1 Fe 0.5000 0.5000 0.5000

2.
# KIn2Fe, relaxed, DFT PBE
# total moment: 1.9 μB/f.u.
# DOS at the Fermi energy: 5.91 states/eV/cell
# electronic total energy: -26.4 eV/cell
# energy relative to the elements: 456.0 meV per atom
data_KIn2Fe
_cell_length_a 9.1365
_cell_length_b 9.1365
_cell_length_c 9.1365
_cell_angle_alpha 140.46
_cell_angle_beta 140.46
_cell_angle_gamma 57.16
_space_group_name_H-M_alt 'P 1'
_space_group_IT_number 1
_space_group_name_Hall 'P 1'
loop_
_atom_site_label
_atom_site_type_symbol
_atom_site_fract_x
_atom_site_fract_y
_atom_site_fract_z
K1 K 0.3750 0.6250 0.7500
K2 K 0.6250 0.3750 0.2500
In1 In 0.0000 0.0000 0.0000
In2 In 0.0000 0.0000 0.5000
In3 In 0.0000 0.5000 0.0000
In4 In 0.5000 0.0000 0.5000
Fe1 Fe 0.1250 0.8750 0.2500
Fe2 Fe 0.8750 0.1250 0.7500